(1)
# KMoPb (PBE-GGA, optimized geometry)
data_KMoPb
_symmetry_space_group_name_H-M 'F m m 2'
_symmetry_Int_Tables_number 42
_symmetry_space_group_name_Hall 'F 2 -2'
_cell_length_a 3.700
_cell_length_b 4.971
_cell_length_c 16.457
_cell_angle_alpha 90.00
_cell_angle_beta 90.00
_cell_angle_gamma 90.00
loop_
_atom_site_label
_atom_site_fract_x
_atom_site_fract_y
_atom_site_fract_z
K1 0.000 0.000 0.000
Mo1 0.000 0.000 0.676
Pb1 0.000 0.000 0.311
# D(E_F) = 3.10 states/eV/f.u.
# Density = 7.5 g cm⁻³
# Total magnetic moment = 0.0 μB/f.u.

***

(2)
# KMoPb (PBE-GGA, optimized geometry)
data_KMoPb
_symmetry_space_group_name_H-M 'I 4 m m'
_symmetry_Int_Tables_number 107
_symmetry_space_group_name_Hall 'I 4 -2'
_cell_length_a 3.087
_cell_length_b 3.087
_cell_length_c 16.130
_cell_angle_alpha 90.00
_cell_angle_beta 90.00
_cell_angle_gamma 90.00
loop_
_atom_site_label
_atom_site_fract_x
_atom_site_fract_y
_atom_site_fract_z
K1 0.000 0.000 0.000
Mo1 0.000 0.000 0.320
Pb1 0.000 0.000 0.689
# D(E_F) = 2.44 states/eV/f.u.
# Density = 7.4 g cm⁻³
# Total magnetic moment = 0.0 μB/f.u.

***

(3)
# KMoPb (PBE-GGA, optimized geometry)
data_KMoPb
_symmetry_space_group_name_H-M 'I m m 2'
_symmetry_Int_Tables_number 44
_symmetry_space_group_name_Hall 'I 2 -2'
_cell_length_a 3.520
_cell_length_b 4.340
_cell_length_c 13.039
_cell_angle_alpha 90.00
_cell_angle_beta 90.00
_cell_angle_gamma 90.00
loop_
_atom_site_label
_atom_site_fract_x
_atom_site_fract_y
_atom_site_fract_z
K1 0.000 0.000 0.000
Mo1 0.000 0.000 0.738
Pb1 0.000 0.000 0.265
# D(E_F) = 2.21 states/eV/f.u.
# Density = 5.7 g cm⁻³
# Total magnetic moment = 2.3 μB/f.u.

***

Which is most stable, and by how much? (3), by 7 meV per atom.

***

(1)
# K2MoPt (PBE-GGA, optimized geometry)
data_K2MoPt
_symmetry_space_group_name_H-M 'F m -3 m'
_symmetry_Int_Tables_number 225
_symmetry_space_group_name_Hall '-F 4 2 3'
_cell_length_a 7.773
_cell_length_b 7.773
_cell_length_c 7.773
_cell_angle_alpha 90.00
_cell_angle_beta 90.00
_cell_angle_gamma 90.00
loop_
_atom_site_label
_atom_site_fract_x
_atom_site_fract_y
_atom_site_fract_z
K1 0.250 0.250 0.250
Mo1 0.000 0.000 0.000
Pt1 0.000 0.000 0.500
# D(E_F) = 2.22 states/eV/f.u.
# Density = 5.2 g cm⁻³
# Total magnetic moment = 5.5 μB/f.u.

***

(2)
# K2MoPt (PBE-GGA, optimized geometry)
data_K2MoPt
_symmetry_space_group_name_H-M 'P m m 2'
_symmetry_Int_Tables_number 25
_symmetry_space_group_name_Hall 'P 2 -2'
_cell_length_a 2.879
_cell_length_b 4.103
_cell_length_c 10.286
_cell_angle_alpha 90.00
_cell_angle_beta 90.00
_cell_angle_gamma 90.00
loop_
_atom_site_label
_atom_site_fract_x
_atom_site_fract_y
_atom_site_fract_z
K1 0.000 0.000 0.000
K2 0.500 0.500 0.420
Mo1 0.000 0.000 0.678
Pt1 0.500 0.500 0.761
# D(E_F) = 4.25 states/eV/f.u.
# Density = 5.0 g cm⁻³
# Total magnetic moment = 0.0 μB/f.u.

***

Which is most stable, and by how much? (2), by 860 meV per atom.

***

(1)
# K2MoPt (PBE-GGA, optimized geometry)
data_K2MoPt
_symmetry_space_group_name_H-M 'C m m m'
_symmetry_Int_Tables_number 65
_symmetry_space_group_name_Hall '-C 2 2'
_cell_length_a 5.516
_cell_length_b 11.434
_cell_length_c 2.816
_cell_angle_alpha 90.00
_cell_angle_beta 90.00
_cell_angle_gamma 90.00
loop_
_atom_site_label
_atom_site_fract_x
_atom_site_fract_y
_atom_site_fract_z
K1 0.250 0.250 0.000
Mo1 0.000 0.000 0.500
Pt1 0.000 0.500 0.500
# D(E_F) = 4.50 states/eV/f.u.
# Density = 6.9 g cm⁻³
# Total magnetic moment = 0.0 μB/f.u.

***

(2)
# K2MoPt (PBE-GGA, optimized geometry)
data_K2MoPt
_symmetry_space_group_name_H-M 'I 4/m m m'
_symmetry_Int_Tables_number 139
_symmetry_space_group_name_Hall '-I 4 2'
_cell_length_a 3.932
_cell_length_b 3.932
_cell_length_c 11.527
_cell_angle_alpha 90.00
_cell_angle_beta 90.00
_cell_angle_gamma 90.00
loop_
_atom_site_label
_atom_site_fract_x
_atom_site_fract_y
_atom_site_fract_z
K1 0.000 0.500 0.250
Mo1 0.000 0.000 0.000
Pt1 0.000 0.000 0.500
# D(E_F) = 3.62 states/eV/f.u.
# Density = 6.9 g cm⁻³
# Total magnetic moment = 0.7 μB/f.u.

***

(3)
# K2MoPt (PBE-GGA, optimized geometry)
data_K2MoPt
_symmetry_space_group_name_H-M 'P 4/m m m'
_symmetry_Int_Tables_number 123
_symmetry_space_group_name_Hall '-P 4 2'
_cell_length_a 2.822
_cell_length_b 2.822
_cell_length_c 11.333
_cell_angle_alpha 90.00
_cell_angle_beta 90.00
_cell_angle_gamma 90.00
loop_
_atom_site_label
_atom_site_fract_x
_atom_site_fract_y
_atom_site_fract_z
K1 0.000 0.000 0.227
Mo1 0.500 0.500 0.500
Pt1 0.500 0.500 0.000
# D(E_F) = 3.56 states/eV/f.u.
# Density = 6.8 g cm⁻³
# Total magnetic moment = 0.8 μB/f.u.

***

Which is most stable, and by how much? (3), by 68 meV per atom.

***

(1)
# K2MoPt (PBE-GGA, optimized geometry)
data_K2MoPt
_symmetry_space_group_name_H-M 'R -3 m'
_symmetry_Int_Tables_number 166
_symmetry_space_group_name_Hall '-R 3 2"'
_cell_length_a 2.9189
_cell_length_b 2.9189
_cell_length_c 34.9682
_cell_angle_alpha 90.00
_cell_angle_beta 90.00
_cell_angle_gamma 120.00
loop_
_atom_site_label
_atom_site_fract_x
_atom_site_fract_y
_atom_site_fract_z
K1 0.0000 0.0000 0.2446
Mo1 0.0000 0.0000 0.0000
Pt1 0.0000 0.0000 0.5000
# D(E_F) = 2.12 states/eV/f.u.
# Density = 7.1 g cm⁻³
# Total magnetic moment = 0.2 μB/f.u.

***

(2)
# K2MoPt (PBE-GGA, optimized geometry)
data_K2MoPt
_symmetry_space_group_name_H-M 'C 1 2/m 1'
_symmetry_Int_Tables_number 12
_symmetry_space_group_name_Hall '-C 2y'
_cell_length_a 5.698
_cell_length_b 11.732
_cell_length_c 2.844
_cell_angle_alpha 90.00
_cell_angle_beta 116.13
_cell_angle_gamma 90.00
loop_
_atom_site_label
_atom_site_fract_x
_atom_site_fract_y
_atom_site_fract_z
K1 0.250 0.250 0.000
Mo1 0.000 0.000 0.500
Pt1 0.000 0.500 0.500
# D(E_F) = 2.95 states/eV/f.u.
# Density = 7.2 g cm⁻³
# Total magnetic moment = 0.0 μB/f.u.

***

(3)
# K2MoPt (PBE-GGA, optimized geometry)
data_K2MoPt
_symmetry_space_group_name_H-M 'P 4/m m m'
_symmetry_Int_Tables_number 123
_symmetry_space_group_name_Hall '-P 4 2'
_cell_length_a 3.924
_cell_length_b 3.924
_cell_length_c 5.764
_cell_angle_alpha 90.00
_cell_angle_beta 90.00
_cell_angle_gamma 90.00
loop_
_atom_site_label
_atom_site_fract_x
_atom_site_fract_y
_atom_site_fract_z
K1 0.000 0.500 0.000
Mo1 0.000 0.000 0.500
Pt1 0.500 0.500 0.500
# D(E_F) = 3.09 states/eV/f.u.
# Density = 6.9 g cm⁻³
# Total magnetic moment = 0.3 μB/f.u.

***

Which is most stable, and by how much? (1), by 39 meV per atom.

***

(1)
# K2MoPt (PBE-GGA, optimized geometry)
data_K2MoPt
_symmetry_space_group_name_H-M 'I -4 m 2'
_symmetry_Int_Tables_number 119
_symmetry_space_group_name_Hall 'I -4 -2'
_cell_length_a 5.268
_cell_length_b 5.268
_cell_length_c 7.473
_cell_angle_alpha 90.00
_cell_angle_beta 90.00
_cell_angle_gamma 90.00
loop_
_atom_site_label
_atom_site_fract_x
_atom_site_fract_y
_atom_site_fract_z
K1 0.000 0.000 0.000
K2 0.000 0.500 0.250
Mo1 0.000 0.500 0.750
Pt1 0.000 0.000 0.500
# D(E_F) = 3.50 states/eV/f.u.
# Density = 5.9 g cm⁻³
# Total magnetic moment = 4.7 μB/f.u.

***

(2)
# K2MoPt (PBE-GGA, optimized geometry)
data_K2MoPt
_symmetry_space_group_name_H-M 'P 1 2/m 1'
_symmetry_Int_Tables_number 10
_symmetry_space_group_name_Hall '-P 2y'
_cell_length_a 2.847
_cell_length_b 5.875
_cell_length_c 5.116
_cell_angle_alpha 90.00
_cell_angle_beta 93.48
_cell_angle_gamma 90.00
loop_
_atom_site_label
_atom_site_fract_x
_atom_site_fract_y
_atom_site_fract_z
K1 0.231 0.000 0.257
Mo1 0.500 0.500 0.000
Pt1 0.000 0.500 0.500
# D(E_F) = 2.71 states/eV/f.u.
# Density = 7.2 g cm⁻³
# Total magnetic moment = 0.0 μB/f.u.

***

(3)
# K2MoPt (PBE-GGA, optimized geometry)
data_K2MoPt
_symmetry_space_group_name_H-M 'I -4 2 d'
_symmetry_Int_Tables_number 122
_symmetry_space_group_name_Hall 'I -4 2bw'
_cell_length_a 12.039
_cell_length_b 12.039
_cell_length_c 4.913
_cell_angle_alpha 90.00
_cell_angle_beta 90.00
_cell_angle_gamma 90.00
loop_
_atom_site_label
_atom_site_fract_x
_atom_site_fract_y
_atom_site_fract_z
K1 0.086 0.250 0.125
Mo1 0.000 0.000 0.500
Pt1 0.000 0.000 0.000
# D(E_F) = 3.82 states/eV/f.u.
# Density = 3.4 g cm⁻³
# Total magnetic moment = 3.7 μB/f.u.

***

(4)
# K2MoPt (PBE-GGA, optimized geometry)
data_K2MoPt
_symmetry_space_group_name_H-M 'C m m m'
_symmetry_Int_Tables_number 65
_symmetry_space_group_name_Hall '-C 2 2'
_cell_length_a 3.176
_cell_length_b 4.712
_cell_length_c 11.594
_cell_angle_alpha 90.00
_cell_angle_beta 90.00
_cell_angle_gamma 90.00
loop_
_atom_site_label
_atom_site_fract_x
_atom_site_fract_y
_atom_site_fract_z
K1 0.000 0.000 0.231
Mo1 0.000 0.500 0.500
Pt1 0.000 0.500 0.000
# D(E_F) = 3.55 states/eV/f.u.
# Density = 7.1 g cm⁻³
# Total magnetic moment = 0.0 μB/f.u.

***

Which is most stable, and by how much? (3), by 12 meV per atom.